## Fe2CoPt (GGA-PBEsol)

Data for an optimized crystal structure of Fe2CoPt.

Summary:
Crystal system ... tetragonal
Energy of formation ... -0.03 eV per atom
Space group ... No. 99

Lattice parameters (Å, degrees): 2.7513 2.7513 6.4141 90.00 90.00 90.00
Closest atoms and distances in Å follow each position.
Positions (direct):
Fe 0.0000 0.0000 0.0000  4 Co 2.37, 4 Fe 2.47
Fe 0.5000 0.5000 0.2380  8 Fe 2.47-2.75, 4 Pt 2.62
Co 0.5000 0.5000 0.7896  4 Fe 2.37, 4 Pt 2.64
Pt 0.0000 0.0000 0.5105  4 Fe 2.62, 4 Co 2.64, 4 Pt 2.75